1.
The following is a DFT calculation (PBE) of a relaxed NbTlNiAu crystal.

a = 4.6218 Å, b = 4.6218 Å, c = 4.6218 Å
α = 60.00°, β = 60.00°, γ = 60.00°
Closest atoms and distances in Å follow each position.
Atoms (fractional coordinates):
Nb 0.0000 0.0000 0.0000  4 Tl 2.83, 4 Au 2.83
Tl 0.2500 0.2500 0.2500  4 Nb 2.83, 4 Ni 2.83
Ni 0.5000 0.5000 0.5000  4 Au 2.83, 4 Tl 2.83
Au 0.7500 0.7500 0.7500  4 Ni 2.83, 4 Nb 2.83

## Properties
**Final energy**: -20.21 eV/cell
**Total magnetic moment**: 0.0 Bohr magnetons per cell

***

2.
The following is a DFT calculation (PBE) of a relaxed RbZrO3 crystal.

a = 6.5458 Å, b = 7.2471 Å, c = 7.2209 Å
α = 90.00°, β = 90.00°, γ = 90.00°
Closest atoms and distances in Å follow each position.
Atoms (fractional coordinates):
Rb 0.0000 0.0000 0.0000  6 O 2.78-3.05
Rb 0.0000 0.5000 0.0000  6 O 2.78-3.05
Rb 0.5000 0.0000 0.5000  6 O 2.78-3.05
Rb 0.5000 0.5000 0.5000  6 O 2.78-3.05
Zr 0.0054 0.2500 0.4177  4 O 1.98-2.10
Zr 0.4946 0.7500 0.9177  4 O 1.98-2.10
Zr 0.5054 0.2500 0.0823  4 O 1.98-2.10
Zr 0.9946 0.7500 0.5823  4 O 1.98-2.10
O 0.0599 0.5602 0.3763  2 Zr 2.07-2.30, 1 O 2.14
O 0.0599 0.9398 0.3763  2 Zr 2.07-2.30, 1 O 2.14
O 0.2291 0.7500 0.7555  2 Zr 1.98-2.10
O 0.2709 0.2500 0.2555  2 Zr 1.98-2.10
O 0.4401 0.0602 0.8763  2 Zr 2.07-2.30, 1 O 2.14
O 0.4401 0.4398 0.8763  2 Zr 2.07-2.30, 1 O 2.14
O 0.5599 0.5602 0.1237  2 Zr 2.07-2.30, 1 O 2.14
O 0.5599 0.9398 0.1237  2 Zr 2.07-2.30, 1 O 2.14
O 0.7291 0.7500 0.7445  2 Zr 1.98-2.10
O 0.7709 0.2500 0.2445  2 Zr 1.98-2.10
O 0.9401 0.0602 0.6237  2 Zr 2.07-2.30, 1 O 2.14
O 0.9401 0.4398 0.6237  2 Zr 2.07-2.30, 1 O 2.14

## Properties
**Final energy**: -141.60 eV/cell
**Total magnetic moment**: 4.0 Bohr magnetons per cell